# Dy12Mn3O5 | Alexandria | PBE+U | relaxed
# uncorrected energy: -6.3951 eV/atom
# Fermi-level density of states: 101.3 states/eV/cell
data_Dy12Mn3O5
_cell_length_a 15.524
_cell_length_b 15.524
_cell_length_c 15.524
_cell_angle_alpha 90.00
_cell_angle_beta 90.00
_cell_angle_gamma 90.00
_space_group_name_H-M_alt 'I a -3 d'
_space_group_IT_number 230
_space_group_name_Hall '-I 4bd 2c 3'
loop_
_atom_site_label
_atom_site_type_symbol
_atom_site_fract_x
_atom_site_fract_y
_atom_site_fract_z
_atom_site_occupancy
Dy1 Dy 0.041 0.050 0.647 1
Mn1 Mn 0.000 0.250 0.125 1
O1 O 0.000 0.000 0.000 1
O2 O 0.000 0.250 0.375 1